First-principles (PBE-GGA) data for Ac2PmNd5Ho after structural relaxation, as listed in Alexandria via LeMat-Bulk.

```
18
Lattice="2.930 -10.392 0.000 2.930 10.392 0.000 0.000 0.000 11.047" Properties=species:S:1:pos:R:3 pbc="T T T"
Ac 2.930 8.074 5.524
Ac 2.930 7.925 0.970
Ac 2.930 -7.925 6.493
Ac 2.930 -8.074 0.000
Pm 2.930 6.087 8.541
Pm 2.930 -6.087 3.018
Nd 2.930 9.983 8.739
Nd 2.930 4.507 0.805
Nd 2.930 4.253 5.141
Nd 2.930 2.188 8.738
Nd 2.930 0.403 5.632
Nd 2.930 -0.403 0.108
Nd 2.930 -2.188 3.214
Nd 2.930 -4.253 10.664
Nd 2.930 -4.507 6.328
Nd 2.930 -9.983 3.216
Ho 2.930 1.893 2.566
Ho 2.930 -1.893 8.089
```

Computed properties:
Total magnetization: 0.0 μB per formula unit
Electronic total energy: -4.467 eV per atom
Calculated volume: 673 Å³/cell
Energy of formation: 131 meV per atom



First-principles (PBE-GGA) data for AcPm5Nd2Ho after structural relaxation, as listed in Alexandria via LeMat-Bulk.

```
18
Lattice="-4.497 4.497 7.943 4.497 -4.497 7.943 4.497 4.497 -7.943" Properties=species:S:1:pos:R:3 pbc="T T T"
Ac 0.000 0.000 3.971
Ac 0.000 0.000 11.914
Pm 0.000 0.000 0.000
Pm 6.344 1.847 -2.124
Pm 1.847 2.650 -2.124
Pm 6.344 1.847 2.124
Pm 1.847 2.650 2.124
Pm 0.000 0.000 7.943
Pm 2.650 1.847 5.818
Pm -1.847 2.650 5.818
Pm 2.650 1.847 10.067
Pm -1.847 2.650 10.067
Nd 3.444 1.053 0.000
Nd 3.444 -1.053 7.943
Nd 1.053 5.550 0.000
Nd 1.053 3.444 7.943
Ho 4.497 0.000 3.971
Ho 0.000 4.497 3.971
```

Computed properties:
Total magnetization: 0.0 μB per formula unit
Electronic total energy: -4.409 eV per atom
Calculated volume: 642 Å³/cell
Energy of formation: 255 meV per atom



First-principles (PBE-GGA) data for AcPm6Nd3Ho2 after structural relaxation, as listed in Alexandria via LeMat-Bulk.

```
12
Lattice="3.172 -5.492 0.000 3.172 5.492 0.000 -2.119 0.000 11.997" Properties=species:S:1:pos:R:3 pbc="T T T"
Ac 0.000 0.000 0.000
Pm 1.068 1.848 3.004
Pm 0.015 0.000 8.988
Pm 1.068 -1.848 3.004
Pm 3.157 1.848 8.993
Pm 4.211 0.000 3.009
Pm 3.157 -1.848 8.993
Nd 2.113 3.656 5.999
Nd 2.113 0.000 5.999
Nd 2.113 -3.656 5.999
Ho 3.172 1.830 0.000
Ho 3.172 -1.830 0.000
```

Computed properties:
Total magnetization: 0.0 μB per formula unit
Electronic total energy: -4.648 eV per atom
Calculated volume: 418 Å³/cell
Energy of formation: 24 meV per atom



First-principles (PBE-GGA) data for AcPmNd5Ho2 after structural relaxation, as listed in Alexandria via LeMat-Bulk.

```
18
Lattice="2.810 -12.195 0.000 2.810 12.195 0.000 0.000 0.000 9.551" Properties=species:S:1:pos:R:3 pbc="T T T"
Ac 2.810 9.695 4.775
Ac 2.810 -9.695 0.000
Pm 2.810 5.751 1.038
Pm 2.810 -5.751 5.813
Nd 2.810 11.596 7.897
Nd 2.810 9.646 1.013
Nd 2.810 7.585 7.641
Nd 2.810 6.317 4.132
Nd 2.810 0.192 5.798
Nd 2.810 -0.192 1.023
Nd 2.810 -6.317 8.907
Nd 2.810 -7.585 2.866
Nd 2.810 -9.646 5.788
Nd 2.810 -11.596 3.122
Ho 2.810 4.204 7.129
Ho 2.810 2.732 3.456
Ho 2.810 -2.732 8.231
Ho 2.810 -4.204 2.353
```

Computed properties:
Total magnetization: 0.0 μB per formula unit
Electronic total energy: -4.508 eV per atom
Calculated volume: 655 Å³/cell
Energy of formation: 143 meV per atom